Ac4MgGa | PBE | optimized geometry

Output
- energy relative to the elements (kJ per mole of atoms) = 3.7
- crystal system = tetragonal
- M_tot (μB/cell) = 0.0

The structure in POSCAR format:
```
Ac4MgGa
1.0
-1.888 4.174 -3.051
-4.864 -2.535 -0.459
-2.558 3.702 6.647
Ac Mg Ga
4 1 1
Cartesian
-6.475 0.544 -0.228 Ac
-3.097 -0.276 1.528 Ac
-4.293 1.453 4.631 Ac
-7.671 2.272 2.876 Ac
-5.919 4.525 4.877 Mg
-6.127 -0.679 2.849 Ga
```